# 1
The following is a PBE calculation of an optimized crystal structure of YZn2Pd3, from Alexandria.

abc: 4.4094 4.4094 12.3417
angles: 90.00 90.00 120.00
Space group P6_3/mmc (No. 194)
One atom of each set of equivalent atoms:
Y1 0.0000 0.0000 0.2500 x2
Zn1 0.3333 0.6667 0.0812 x4
Pd1 0.0000 0.0000 0.0000 x2
Pd2 0.3333 0.6667 0.6287 x4

Uncorrected energy: -4.8022 eV per atom
N(E_F): 3.547 states/eV per cell
Formation energy: -4.22 eV/f.u.



# 2
The following is a PBE calculation of an optimized crystal structure of TiTlI6, from Alexandria.

abc: 7.561 13.201 7.515
angles: 90.00 110.11 90.00
Space group C2/m (No. 12)
One atom of each set of equivalent atoms:
Ti1 0.000 0.000 0.000 x2
Tl1 0.000 0.500 0.500 x2
I1 0.213 0.153 0.225 x8
I2 0.232 0.000 0.790 x4

Uncorrected energy: -2.9717 eV per atom
ΔE to the lowest computed polymorph: 0 meV/atom
N(E_F): 17.881 states/eV per cell
Uncorrected formation energy: -0.53 eV per atom



# 3
The following is a PBE calculation of an optimized crystal structure of LaGeI2N, from Alexandria.

abc: 6.120 6.120 3.707
angles: 90.00 90.00 90.00
Space group P4/mmm (No. 123)
One atom of each set of equivalent atoms:
La1 0.000 0.000 0.000 x1
Ge1 0.500 0.500 0.500 x1
I1 0.000 0.500 0.500 x2
N1 0.500 0.500 0.000 x1

Uncorrected energy: -4.2397 eV per atom
ΔE to the lowest computed polymorph: 0 meV/atom
N(E_F): 4.669 states/eV per cell
Uncorrected formation energy: -0.05 eV per atom